Density functional theory data (GGA-PBE) for Rb2UF7 after structural relaxation.

Cell lengths 7.059, 8.118, 7.939 Å; angles 65.33, 63.60, 64.23 degrees
Last column: magnetic moment on the atom in μB.
Sites, in units of the cell vectors:
Rb: 0.316 0.604 0.740  0.00
Rb: 0.660 0.896 0.760  0.00
Rb: 0.340 0.104 0.240  0.00
Rb: 0.684 0.396 0.260  0.00
F: 0.211 0.897 0.952  0.00
F: 0.059 0.603 0.548  0.00
F: 0.903 0.718 0.071  -0.01
F: 0.940 0.997 0.342  -0.01
F: 0.097 0.282 0.929  -0.01
F: 0.353 0.750 0.250  0.00
F: 0.789 0.103 0.048  0.00
F: 0.308 0.218 0.571  -0.01
F: 0.692 0.782 0.429  -0.01
F: 0.941 0.397 0.452  0.00
F: 0.279 0.503 0.158  -0.01
F: 0.721 0.497 0.842  -0.01
F: 0.647 0.250 0.750  0.00
F: 0.060 0.003 0.658  -0.01
U: 0.961 0.250 0.750  1.03
U: 0.039 0.750 0.250  1.03

Calculated values
* calculated volume: 176.27 Å³/f.u.
* calculated total energy: -5.935 eV/atom